[1]
Computed, not measured: a geometry-optimized HfTiAsSe2 structure at the GGA-PBE level of DFT.

Lattice parameters (Å, degrees): 4.792 4.792 4.957 90.00 90.00 90.00
Atoms (fractional coordinates):
Hf (0.000, 0.000, 0.000)
Ti (0.500, 0.500, 0.500)
As (0.500, 0.500, 0.000)
Se (0.000, 0.500, 0.500)
Se (0.500, 0.000, 0.500)

Summary:
Its density of states at the Fermi level is 3.5 states/eV per cell. For the calculated total energy, the calculation gives -5.94 eV/atom. The value obtained for the raw formation energy is -42 meV/atom. The energy relative to the lowest polymorph listed for this composition is 0.0 meV per atom.

[2]
Computed, not measured: a geometry-optimized Tb4BSe2Cl structure at the GGA-PBE level of DFT.

Lattice parameters (Å, degrees): 6.973 3.957 6.993 90.00 108.71 90.00
Atoms (fractional coordinates):
Tb (0.218, 0.000, 0.215)
Tb (0.232, 0.500, 0.777)
Tb (0.768, 0.500, 0.223)
Tb (0.782, 0.000, 0.785)
B (0.000, 0.500, 0.000)
Se (0.500, 0.000, 0.000)
Se (0.500, 0.500, 0.500)
Cl (0.000, 0.000, 0.500)

Summary:
Its density of states at the Fermi level is 2.8 states/eV per cell. For the calculated total energy, the calculation gives -5.61 eV/atom. The value obtained for the raw formation energy is -1356 meV/atom.

[3]
Computed, not measured: a geometry-optimized CdCo2Si structure at the GGA-PBE level of DFT.

Lattice parameters (Å, degrees): 4.251 4.251 4.251 60.00 60.00 60.00
Atoms (fractional coordinates):
Cd (0.000, 0.000, 0.000)
Co (0.500, 0.500, 0.500)
Co (0.750, 0.750, 0.750)
Si (0.250, 0.250, 0.250)

Summary:
Its density of states at the Fermi level is 6.5 states/eV per cell. For the calculated total energy, the calculation gives -4.76 eV/atom. The value obtained for the raw formation energy is 379 meV/atom. The energy relative to the lowest polymorph listed for this composition is 589.8 meV per atom.

[4]
Computed, not measured: a geometry-optimized PrEr2Ti structure at the GGA-PBE level of DFT.

Lattice parameters (Å, degrees): 3.389 3.389 9.834 90.00 90.00 90.00
Atoms (fractional coordinates):
Pr (0.000, 0.000, 0.000)
Er (0.500, 0.500, 0.291)
Er (0.500, 0.500, 0.709)
Ti (0.000, 0.000, 0.500)

Summary:
Its density of states at the Fermi level is 5.7 states/eV per cell. For the calculated total energy, the calculation gives -5.30 eV/atom. The energy relative to the elements comes out at 0.15 eV/atom. The energy relative to the lowest polymorph listed for this composition is 0.0 meV per atom.

[5]
Computed, not measured: a geometry-optimized Dy2CuI2 structure at the GGA-PBE level of DFT.

Lattice parameters (Å, degrees): 12.012 12.012 12.012 19.47 19.47 19.47
Atoms (fractional coordinates):
Dy (0.121, 0.121, 0.121)
Dy (0.879, 0.879, 0.879)
Cu (0.500, 0.500, 0.500)
I (0.272, 0.272, 0.272)
I (0.728, 0.728, 0.728)

Summary:
Its density of states at the Fermi level is 4.2 states/eV per cell. For the calculated total energy, the calculation gives -4.07 eV/atom. The value obtained for the raw formation energy is -792 meV/atom.

[6]
Computed, not measured: a geometry-optimized TaCuAu4 structure at the GGA-PBE level of DFT.

Lattice parameters (Å, degrees): 5.384 5.384 5.384 60.00 60.00 60.00
Atoms (fractional coordinates):
Ta (0.000, 0.000, 0.000)
Cu (0.250, 0.250, 0.250)
Au (0.125, 0.625, 0.625)
Au (0.625, 0.125, 0.625)
Au (0.625, 0.625, 0.125)
Au (0.625, 0.625, 0.625)

Summary:
Its density of states at the Fermi level is 3.0 states/eV per cell. For the calculated total energy, the calculation gives -4.39 eV/atom. The energy relative to the elements comes out at 0.46 eV/atom. The energy relative to the lowest polymorph listed for this composition is 504.8 meV per atom.

[7]
Computed, not measured: a geometry-optimized Cs2CaCu2Cl7 structure at the GGA-PBE level of DFT.

Lattice parameters (Å, degrees): 5.010 5.010 13.362 100.71 100.71 90.01
Atoms (fractional coordinates):
Cs (0.176, 0.176, 0.356)
Cs (0.824, 0.824, 0.644)
Ca (0.000, 0.000, 0.000)
Cu (0.412, 0.412, 0.818)
Cu (0.588, 0.588, 0.182)
Cl (0.076, 0.575, 0.155)
Cl (0.319, 0.319, 0.634)
Cl (0.425, 0.924, 0.845)
Cl (0.500, 0.500, 0.000)
Cl (0.575, 0.076, 0.155)
Cl (0.681, 0.681, 0.366)
Cl (0.924, 0.425, 0.845)

Summary:
Its density of states at the Fermi level is 4.5 states/eV per cell. For the calculated total energy, the calculation gives -3.45 eV/atom. The value obtained for the raw formation energy is -1384 meV/atom.

[8]
Computed, not measured: a geometry-optimized CsTlAsCl6 structure at the GGA-PBE level of DFT.

Lattice parameters (Å, degrees): 6.318 7.745 7.749 60.07 89.94 89.77
Atoms (fractional coordinates):
Cs (0.000, 0.000, 0.000)
Tl (0.500, 0.333, 0.333)
As (0.000, 0.667, 0.666)
Cl (0.226, 0.425, 0.928)
Cl (0.226, 0.645, 0.425)
Cl (0.226, 0.928, 0.646)
Cl (0.773, 0.930, 0.425)
Cl (0.774, 0.426, 0.645)
Cl (0.774, 0.647, 0.928)

Summary:
Its density of states at the Fermi level is 5.6 states/eV per cell. For the calculated total energy, the calculation gives -3.02 eV/atom. The value obtained for the raw formation energy is -919 meV/atom.

[9]
Computed, not measured: a geometry-optimized LaInPb2 structure at the GGA-PBE level of DFT.

Lattice parameters (Å, degrees): 3.558 3.558 9.777 90.00 90.00 90.00
Atoms (fractional coordinates):
La (0.000, 0.000, 0.000)
In (0.000, 0.000, 0.500)
Pb (0.500, 0.500, 0.253)
Pb (0.500, 0.500, 0.747)

Summary:
Its density of states at the Fermi level is 1.7 states/eV per cell. For the calculated total energy, the calculation gives -3.96 eV/atom. The energy relative to the elements comes out at -0.19 eV/atom.

[10]
Computed, not measured: a geometry-optimized AcHoOsAu structure at the GGA-PBE level of DFT.

Lattice parameters (Å, degrees): 5.149 5.149 5.149 60.00 60.00 60.00
Atoms (fractional coordinates):
Ac (0.000, 0.000, 0.000)
Ho (0.500, 0.500, 0.500)
Os (0.750, 0.750, 0.750)
Au (0.250, 0.250, 0.250)

Summary:
Its density of states at the Fermi level is 3.3 states/eV per cell. For the calculated total energy, the calculation gives -6.07 eV/atom. The energy relative to the elements comes out at -0.27 eV/atom.

[11]
Computed, not measured: a geometry-optimized TeRu2Cl structure at the GGA-PBE level of DFT.

Lattice parameters (Å, degrees): 4.583 4.583 3.194 90.00 90.00 90.00
Atoms (fractional coordinates):
Te (0.000, 0.000, 0.000)
Ru (0.000, 0.500, 0.500)
Ru (0.500, 0.000, 0.500)
Cl (0.500, 0.500, 0.000)

Summary:
Its density of states at the Fermi level is 6.2 states/eV per cell. For the calculated total energy, the calculation gives -5.22 eV/atom. The value obtained for the raw formation energy is 667 meV/atom. The energy relative to the lowest polymorph listed for this composition is 527.1 meV per atom.

[12]
Computed, not measured: a geometry-optimized SnPb3F structure at the GGA-PBE level of DFT.

Lattice parameters (Å, degrees): 5.899 5.899 5.899 90.00 90.00 90.00
Atoms (fractional coordinates):
Sn (0.000, 0.000, 0.000)
Pb (0.000, 0.000, 0.500)
Pb (0.000, 0.500, 0.000)
Pb (0.500, 0.000, 0.000)
F (0.500, 0.500, 0.500)

Summary:
Its density of states at the Fermi level is 3.3 states/eV per cell. For the calculated total energy, the calculation gives -3.19 eV/atom. The value obtained for the raw formation energy is 208 meV/atom. The energy relative to the lowest polymorph listed for this composition is 657.1 meV per atom.

[13]
Computed, not measured: a geometry-optimized PrMnH4 structure at the GGA-PBE level of DFT.

Lattice parameters (Å, degrees): 6.470 6.470 4.228 107.96 107.96 120.05
Atoms (fractional coordinates):
Pr (0.136, 0.864, 0.750)
Pr (0.864, 0.136, 0.250)
Mn (0.425, 0.575, 0.250)
Mn (0.575, 0.425, 0.750)
H (0.179, 0.564, 0.317)
H (0.278, 0.294, 0.788)
H (0.294, 0.278, 0.288)
H (0.436, 0.821, 0.183)
H (0.564, 0.179, 0.817)
H (0.706, 0.722, 0.712)
H (0.722, 0.706, 0.212)
H (0.821, 0.436, 0.683)

Summary:
Its density of states at the Fermi level is 4.1 states/eV per cell. For the calculated total energy, the calculation gives -4.78 eV/atom.

[14]
Computed, not measured: a geometry-optimized CsCuRe2O8 structure at the GGA-PBE level of DFT.

Lattice parameters (Å, degrees): 5.668 5.668 8.436 90.00 90.00 120.00
Atoms (fractional coordinates):
Cs (0.000, 0.000, 0.000)
Cu (0.000, 0.000, 0.500)
Re (0.333, 0.667, 0.715)
Re (0.667, 0.333, 0.285)
O (0.088, 0.338, 0.649)
O (0.250, 0.912, 0.649)
O (0.333, 0.667, 0.923)
O (0.338, 0.250, 0.351)
O (0.662, 0.750, 0.649)
O (0.667, 0.333, 0.077)
O (0.750, 0.088, 0.351)
O (0.912, 0.662, 0.351)

Summary:
For the calculated total energy, the calculation gives -7.38 eV/atom. The value obtained for the raw formation energy is -1584 meV/atom.

[15]
Computed, not measured: a geometry-optimized RbBeH4 structure at the GGA-PBE level of DFT.

Lattice parameters (Å, degrees): 5.461 5.461 5.685 99.63 99.63 68.00
Atoms (fractional coordinates):
Rb (0.214, 0.214, 0.266)
Rb (0.786, 0.786, 0.734)
Be (0.436, 0.436, 0.823)
Be (0.564, 0.564, 0.177)
H (0.276, 0.276, 0.792)
H (0.326, 0.674, 0.000)
H (0.351, 0.622, 0.586)
H (0.378, 0.649, 0.414)
H (0.622, 0.351, 0.586)
H (0.649, 0.378, 0.414)
H (0.674, 0.326, 0.000)
H (0.724, 0.724, 0.208)

Summary:
Its density of states at the Fermi level is 0.0 states/eV per cell. For the calculated total energy, the calculation gives -3.08 eV/atom.

[16]
Computed, not measured: a geometry-optimized Nd2SnPb structure at the GGA-PBE level of DFT.

Lattice parameters (Å, degrees): 8.819 8.819 8.819 27.88 27.88 27.88
Atoms (fractional coordinates):
Nd (0.247, 0.247, 0.247)
Nd (0.753, 0.753, 0.753)
Sn (0.500, 0.500, 0.500)
Pb (0.000, 0.000, 0.000)

Summary:
Its density of states at the Fermi level is 4.4 states/eV per cell. For the calculated total energy, the calculation gives -4.80 eV/atom. The energy relative to the elements comes out at -0.49 eV/atom. The energy relative to the lowest polymorph listed for this composition is 186.1 meV per atom.

[17]
Computed, not measured: a geometry-optimized Ho4Tm5Sc3 structure at the GGA-PBE level of DFT.

Lattice parameters (Å, degrees): 8.364 8.364 9.008 115.53 115.53 39.47
Atoms (fractional coordinates):
Ho (0.083, 0.083, 0.442)
Ho (0.216, 0.216, 0.880)
Ho (0.784, 0.784, 0.120)
Ho (0.917, 0.917, 0.558)
Tm (0.000, 0.000, 0.000)
Tm (0.326, 0.326, 0.622)
Tm (0.427, 0.427, 0.289)
Tm (0.573, 0.573, 0.711)
Tm (0.674, 0.674, 0.378)
Sc (0.215, 0.215, 0.236)
Sc (0.500, 0.500, 0.000)
Sc (0.785, 0.785, 0.764)

Summary:
Its density of states at the Fermi level is 19.8 states/eV per cell. For the calculated total energy, the calculation gives -4.75 eV/atom. The energy relative to the elements comes out at 0.22 eV/atom.

[18]
Computed, not measured: a geometry-optimized Ta3AlCd structure at the GGA-PBE level of DFT.

Lattice parameters (Å, degrees): 4.730 4.730 4.730 90.00 90.00 90.00
Atoms (fractional coordinates):
Ta (0.000, 0.000, 0.500)
Ta (0.000, 0.500, 0.000)
Ta (0.500, 0.000, 0.000)
Al (0.000, 0.000, 0.000)
Cd (0.500, 0.500, 0.500)

Summary:
Its density of states at the Fermi level is 0.1 states/eV per cell. For the calculated total energy, the calculation gives -6.84 eV/atom. The energy relative to the elements comes out at 1.21 eV/atom. The energy relative to the lowest polymorph listed for this composition is 0.0 meV per atom.

[19]
Computed, not measured: a geometry-optimized ThAlZn4Ag5 structure at the GGA-PBE level of DFT.

Lattice parameters (Å, degrees): 5.119 5.119 8.261 90.00 90.00 90.00
Atoms (fractional coordinates):
Th (0.000, 0.000, 0.000)
Al (0.500, 0.500, 0.000)
Zn (0.000, 0.500, 0.500)
Zn (0.500, 0.000, 0.500)
Zn (0.500, 0.500, 0.341)
Zn (0.500, 0.500, 0.659)
Ag (0.000, 0.000, 0.500)
Ag (0.000, 0.500, 0.191)
Ag (0.000, 0.500, 0.809)
Ag (0.500, 0.000, 0.191)
Ag (0.500, 0.000, 0.809)

Summary:
Its density of states at the Fermi level is 2.5 states/eV per cell. For the calculated total energy, the calculation gives -2.65 eV/atom. The energy relative to the elements comes out at 0.13 eV/atom.

[20]
Computed, not measured: a geometry-optimized LiNdScPb structure at the GGA-PBE level of DFT.

Lattice parameters (Å, degrees): 5.233 5.233 5.233 60.00 60.00 60.00
Atoms (fractional coordinates):
Li (0.000, 0.000, 0.000)
Nd (0.250, 0.250, 0.250)
Sc (0.750, 0.750, 0.750)
Pb (0.500, 0.500, 0.500)

Summary:
Its density of states at the Fermi level is 3.3 states/eV per cell. For the calculated total energy, the calculation gives -4.44 eV/atom. The energy relative to the elements comes out at -0.26 eV/atom.